Here is a relaxed structure of Rb6ZnHg from Alexandria via LeMat-Bulk. Energies are from PBE.

Lattice parameters (Å, degrees): 4.802 10.627 10.627 84.64 90.00 90.00
Positions (direct):
Rb1 0.000 0.000 0.000
Rb2 0.000 0.551 0.865
Rb3 0.000 0.865 0.551
Rb4 0.500 0.249 0.674
Rb5 0.500 0.273 0.273
Rb6 0.500 0.674 0.249
Zn1 0.500 0.585 0.585
Hg1 0.000 0.491 0.491

Computed properties:
Density of states at the Fermi level in states/eV/atom: 0.823
E_form in kJ/mol of atoms: -1.05